Record 1
Compound: HoTm2Pu3Se6
Source: the Alexandria database
Functional: PBE
Structure: optimized geometry

a b c (Å): 17.9015 4.0576 8.2297
angles (deg): 90.00 104.44 90.00
Space group C2/m (No. 12)
Asymmetric unit:
Ho 0.0000 0.0000 0.0000
Tm 0.1665 0.5000 0.3327
Pu 0.0000 0.0000 0.5000
Pu 0.1661 0.5000 0.8332
Se 0.0027 0.5000 0.2466
Se 0.1654 0.0000 0.0898
Se 0.1692 0.0000 0.5771

Values from the calculation:
Energy relative to the elements, uncorrected, eV per formula unit: -19.69
DFT total energy, eV per atom: -8.093
Size of the total moment, μB per atom: 1.476



Record 2
Compound: HoTm2PuSe4
Source: the Alexandria database
Functional: PBE
Structure: optimized geometry

a b c (Å): 7.0301 4.0352 7.0403
angles (deg): 90.00 109.10 90.00
Space group P2/m (No. 10)
Asymmetric unit:
Ho 0.0000 0.0000 0.0000
Tm 0.0000 0.5000 0.5000
Tm 0.5000 0.0000 0.5000
Pu 0.5000 0.5000 0.0000
Se 0.2442 0.0000 0.7418
Se 0.2489 0.5000 0.2560

Values from the calculation:
Energy relative to the elements, uncorrected, eV per formula unit: -13.35
DFT total energy, eV per atom: -6.893
Size of the total moment, μB per atom: 0.745



Record 3
Compound: Ho2TmPu3Se6
Source: the Alexandria database
Functional: PBE
Structure: optimized geometry

a b c (Å): 17.8524 4.0795 8.1995
angles (deg): 90.00 103.18 90.00
Space group C2/m (No. 12)
Asymmetric unit:
Ho 0.1665 0.0000 0.3363
Tm 0.0000 0.5000 0.0000
Pu 0.0000 0.5000 0.5000
Pu 0.1673 0.0000 0.8352
Se 0.0016 0.0000 0.2437
Se 0.1643 0.5000 0.0877
Se 0.1686 0.5000 0.5813

Values from the calculation:
Energy relative to the elements, uncorrected, eV per formula unit: -19.75
DFT total energy, eV per atom: -8.107
Size of the total moment, μB per atom: 0.478



Record 4
Compound: HoTm3Pu2Se6
Source: the Alexandria database
Functional: PBE
Structure: optimized geometry

a b c (Å): 17.7460 4.0426 8.1709
angles (deg): 90.00 103.74 90.00
Space group C2/m (No. 12)
Asymmetric unit:
Ho 0.0000 0.0000 0.0000
Tm 0.0000 0.0000 0.5000
Tm 0.1680 0.5000 0.8336
Pu 0.1657 0.5000 0.3328
Se 0.0035 0.5000 0.7494
Se 0.1647 0.0000 0.5888
Se 0.1668 0.0000 0.0758

Values from the calculation:
Energy relative to the elements, uncorrected, eV per formula unit: -19.90
DFT total energy, eV per atom: -7.289
Size of the total moment, μB per atom: 0.987



Record 5
Compound: Ho3TmPu3Se8
Source: the Alexandria database
Functional: PBE
Structure: optimized geometry

a b c (Å): 14.1384 8.1613 8.2008
angles (deg): 90.00 125.08 90.00
Space group C2/m (No. 12)
Asymmetric unit:
Ho 0.0000 0.0000 0.0000
Ho 0.2500 0.2500 0.0000
Tm 0.0000 0.5000 0.0000
Pu 0.0000 0.5000 0.5000
Pu 0.2500 0.2500 0.5000
Se 0.0030 0.2491 0.7578
Se 0.2480 0.0000 0.2444
Se 0.2489 0.5000 0.2439

Values from the calculation:
Energy relative to the elements, uncorrected, eV per formula unit: -25.81
DFT total energy, eV per atom: -7.659
Size of the total moment, μB per atom: 1.159



Record 6
Compound: Ho4TmPu3Se8
Source: the Alexandria database
Functional: PBE
Structure: optimized geometry

a b c (Å): 8.1447 8.1447 20.1255
angles (deg): 90.00 90.00 120.00
Space group R-3m (No. 166, hexagonal axes)
Asymmetric unit:
Ho 0.0000 0.0000 0.0000
Ho 0.0000 0.5000 0.0000
Tm 0.0000 0.0000 0.5000
Pu 0.0000 0.5000 0.5000
Se 0.0000 0.0000 0.2523
Se 0.0048 0.5024 0.2513

Values from the calculation:
Energy relative to the elements, uncorrected, eV per formula unit: -27.07
DFT total energy, eV per atom: -7.545
Size of the total moment, μB per atom: 1.089



Record 7
Compound: YHoPu2Se5
Source: the Alexandria database
Functional: PBE
Structure: optimized geometry

a b c (Å): 5.1305 5.1305 10.7379
angles (deg): 90.00 90.00 90.00
Space group P4/mmm (No. 123)
Asymmetric unit:
Y 0.0000 0.0000 0.0000
Ho 0.0000 0.0000 0.5000
Pu 0.5000 0.5000 0.3076
Se 0.0000 0.0000 0.2442
Se 0.0000 0.5000 0.5000
Se 0.5000 0.5000 0.0000

Values from the calculation:
Energy relative to the elements, uncorrected, eV per formula unit: -10.50
DFT total energy, eV per atom: -7.514
Size of the total moment, μB per atom: 1.321



Record 8
Compound: Y2HoPuSe4
Source: the Alexandria database
Functional: PBE
Structure: optimized geometry

a b c (Å): 7.0947 4.0750 7.0952
angles (deg): 90.00 109.17 90.00
Space group P2/m (No. 10)
Asymmetric unit:
Y 0.0000 0.0000 0.0000
Y 0.0000 0.5000 0.5000
Ho 0.5000 0.0000 0.5000
Pu 0.5000 0.5000 0.0000
Se 0.2482 0.0000 0.7463
Se 0.2505 0.5000 0.2534

Values from the calculation:
Energy relative to the elements, uncorrected, eV per formula unit: -13.75
DFT total energy, eV per atom: -7.441
Size of the total moment, μB per atom: 0.742



Question: What is the size of the total moment in the eighth record?
Answer: 0.742 μB per atom



Repeat the third record exactly.
Compound: Ho2TmPu3Se6
Source: the Alexandria database
Functional: PBE
Structure: optimized geometry

a b c (Å): 17.8524 4.0795 8.1995
angles (deg): 90.00 103.18 90.00
Space group C2/m (No. 12)
Asymmetric unit:
Ho 0.1665 0.0000 0.3363
Tm 0.0000 0.5000 0.0000
Pu 0.0000 0.5000 0.5000
Pu 0.1673 0.0000 0.8352
Se 0.0016 0.0000 0.2437
Se 0.1643 0.5000 0.0877
Se 0.1686 0.5000 0.5813

Values from the calculation:
Energy relative to the elements, uncorrected, eV per formula unit: -19.75
DFT total energy, eV per atom: -8.107
Size of the total moment, μB per atom: 0.478



Question: Among the records above, which one has the lowest energy relative to the elements, uncorrected?
Answer: Ho4TmPu3Se8